The following is a GGA+U calculation of a geometry-optimized MnAl2AsF structure, from Alexandria.

Cell: 4.447 4.624 4.447 Å, 90.00 90.00 90.00°
Last column: magnetic moment on the atom in μB.
Element x y z (fractional)
As: 0.500 0.500 0.500  0.01
Al: 0.500 0.000 0.000  0.00
Al: 0.000 0.000 0.500  0.01
F: 0.000 0.000 0.000  0.04
Mn: 0.000 0.500 0.000  4.59

## Properties
As for the total energy: -22.27 eV/f.u. Its space group is No. 123. Its magnetic moment is 4.9 μB/f.u. As for the density of states at the Fermi level: 1.5 states/eV/cell.